[1]
# Hf3SiGe2Os3, optimized geometry, DFT PBE
data_Hf3SiGe2Os3
_symmetry_space_group_name_H-M 'P 1'
_symmetry_Int_Tables_number 1
_cell_length_a 6.7248
_cell_length_b 6.7248
_cell_length_c 3.7200
_cell_angle_alpha 90.00
_cell_angle_beta 90.00
_cell_angle_gamma 120.00
loop_
_symmetry_equiv_pos_as_xyz
'x,y,z'
loop_
_atom_site_label
_atom_site_type_symbol
_atom_site_fract_x
_atom_site_fract_y
_atom_site_fract_z
Hf1 Hf 0.0000 0.4099 0.0000
Hf2 Hf 0.4099 0.0000 0.0000
Hf3 Hf 0.5901 0.5901 0.0000
Si1 Si 0.0000 0.0000 0.0000
Ge1 Ge 0.3333 0.6667 0.5000
Ge2 Ge 0.6667 0.3333 0.5000
Os1 Os 0.0000 0.7576 0.5000
Os2 Os 0.2424 0.2424 0.5000
Os3 Os 0.7576 0.0000 0.5000
# * electronic total energy: -84.666 eV/cell
# * spin magnetization: 0.0 μB/f.u.

[2]
# Hf6GeP2, optimized geometry, DFT PBE
data_Hf6GeP2
_symmetry_space_group_name_H-M 'P 1'
_symmetry_Int_Tables_number 1
_cell_length_a 7.1315
_cell_length_b 7.1315
_cell_length_c 3.7851
_cell_angle_alpha 90.00
_cell_angle_beta 90.00
_cell_angle_gamma 120.00
loop_
_symmetry_equiv_pos_as_xyz
'x,y,z'
loop_
_atom_site_label
_atom_site_type_symbol
_atom_site_fract_x
_atom_site_fract_y
_atom_site_fract_z
Hf1 Hf 0.0000 0.2594 0.0000
Hf2 Hf 0.0000 0.5886 0.5000
Hf3 Hf 0.2594 0.0000 0.0000
Hf4 Hf 0.4114 0.4114 0.5000
Hf5 Hf 0.5886 0.0000 0.5000
Hf6 Hf 0.7406 0.7406 0.0000
Ge1 Ge 0.0000 0.0000 0.5000
P1 P 0.3333 0.6667 0.0000
P2 P 0.6667 0.3333 0.0000
# * electronic total energy: -82.340 eV/cell
# * spin magnetization: 0.0 μB/f.u.

[3]
# HfPaGe, optimized geometry, DFT PBE
data_HfPaGe
_symmetry_space_group_name_H-M 'P 1'
_symmetry_Int_Tables_number 1
_cell_length_a 4.8371
_cell_length_b 4.8371
_cell_length_c 4.8371
_cell_angle_alpha 60.00
_cell_angle_beta 60.00
_cell_angle_gamma 60.00
loop_
_symmetry_equiv_pos_as_xyz
'x,y,z'
loop_
_atom_site_label
_atom_site_type_symbol
_atom_site_fract_x
_atom_site_fract_y
_atom_site_fract_z
Hf1 Hf 0.0000 0.0000 0.0000
Pa1 Pa 0.7500 0.7500 0.7500
Ge1 Ge 0.5000 0.5000 0.5000
# * electronic total energy: -21.501 eV/cell
# * spin magnetization: 2.6 μB/f.u.

Taking the records one at a time from the top gives volume values of 145.69, 166.71, 80.03 Å³/cell.